Entry 1:
The following is a DFT calculation (meta-GGA SCAN) of a crystal of MoRhBr3 relaxed with PBEsol.

## Properties
energy relative to the elements, uncorrected = 511 meV per atom

Geometry as POSCAR:
```
MoRhBr3
1.0
4.9562 0.0000 0.0000
0.0000 4.9562 0.0000
0.0000 0.0000 4.9562
Mo Rh Br
1 1 3
Cartesian
0.0000 0.0000 0.0000
2.4781 2.4781 2.4781
0.0000 2.4781 2.4781
2.4781 0.0000 2.4781
2.4781 2.4781 0.0000
```

---

Entry 2:
The following is a DFT calculation (meta-GGA SCAN) of a crystal of Mo2RhBr relaxed with PBEsol.

## Properties
energy relative to the elements, uncorrected = 798 meV per atom

Geometry as POSCAR:
```
Mo2RhBr
1.0
1.5224 -2.3395 0.0000
1.5224 2.3395 0.0000
0.0000 0.0000 8.9565
Mo Rh Br
2 1 1
Cartesian
0.0000 0.0000 2.1316
0.0000 0.0000 6.8250
1.5224 0.0000 0.0000
1.5224 0.0000 4.4783
```

---

Entry 3:
The following is a DFT calculation (meta-GGA SCAN) of a crystal of MoRhBr relaxed with PBEsol.

## Properties
energy relative to the elements, uncorrected = 693 meV per atom

Geometry as POSCAR:
```
MoRhBr
1.0
0.0000 2.9870 2.9870
2.9870 0.0000 2.9870
2.9870 2.9870 0.0000
Mo Rh Br
1 1 1
Cartesian
0.0000 0.0000 0.0000
4.4804 4.4804 4.4804
1.4935 1.4935 1.4935
```

---

Quick rundown of size of the total moment, same order as above: 4.73 0.00 0.01 μB/cell
Quick rundown of polymorph energy (0 for the lowest one), same order as above: 0.0 190.3 0.0 meV per atom